Record 1
# PBE PmPaTeAs, optimized geometry
data_PmPaTeAs
_cell_length_a 4.1388
_cell_length_b 4.1388
_cell_length_c 22.7363
_cell_angle_alpha 90.00
_cell_angle_beta 90.00
_cell_angle_gamma 120.00
_symmetry_space_group_name_H-M 'R 3 m'
_symmetry_Int_Tables_number 160
_symmetry_space_group_name_Hall 'R 3 -2"'
loop_
_atom_site_label
_atom_site_type_symbol
_atom_site_fract_x
_atom_site_fract_y
_atom_site_fract_z
Pm1 Pm 0.0000 0.0000 0.0000
Pa1 Pa 0.0000 0.0000 0.8117
Te1 Te 0.0000 0.0000 0.2362
As1 As 0.0000 0.0000 0.4080
# uncorrected energy	-0.2444	Ha/atom
# ρ	8.55	g cm⁻³
# energy relative to the elements, uncorrected	-1.142	eV per atom
# volume	28.1	Å³/atom

Record 2
# PBE PmPaTeAs, optimized geometry
data_PmPaTeAs
_cell_length_a 7.3772
_cell_length_b 7.3772
_cell_length_c 7.3772
_cell_angle_alpha 90.00
_cell_angle_beta 90.00
_cell_angle_gamma 90.00
_symmetry_space_group_name_H-M 'F -4 3 m'
_symmetry_Int_Tables_number 216
_symmetry_space_group_name_Hall 'F -4 2 3'
loop_
_atom_site_label
_atom_site_type_symbol
_atom_site_fract_x
_atom_site_fract_y
_atom_site_fract_z
Pm1 Pm 0.0000 0.0000 0.0000
Pa1 Pa 0.0000 0.0000 0.5000
Te1 Te 0.2500 0.2500 0.2500
As1 As 0.2500 0.2500 0.7500
# uncorrected energy	-0.2352	Ha/atom
# ρ	9.57	g cm⁻³
# energy relative to the elements, uncorrected	-0.892	eV per atom
# volume	25.1	Å³/atom

Record 3
# PBE PmTh2PaAs4, optimized geometry
data_PmTh2PaAs4
_cell_length_a 7.2824
_cell_length_b 4.2088
_cell_length_c 7.2850
_cell_angle_alpha 90.00
_cell_angle_beta 109.48
_cell_angle_gamma 90.00
_symmetry_space_group_name_H-M 'P 1 2/m 1'
_symmetry_Int_Tables_number 10
loop_
_symmetry_equiv_pos_as_xyz
'x,y,z'
'-x,-y,-z'
'-x,y,-z'
'x,-y,z'
loop_
_atom_site_label
_atom_site_type_symbol
_atom_site_fract_x
_atom_site_fract_y
_atom_site_fract_z
Pm1 Pm 0.0000 0.0000 0.0000
Th1 Th 0.0000 0.5000 0.5000
Th2 Th 0.5000 0.0000 0.5000
Pa1 Pa 0.5000 0.5000 0.0000
As1 As 0.2544 0.5000 0.2444
As2 As 0.2578 0.0000 0.7595
# uncorrected energy	-0.2684	Ha/atom
# E_form	-1.34	eV/atom
# ρ	8.99	g cm⁻³
# volume	26.3	Å³/atom

Record 4
# PBE PmTm2PaAs4, optimized geometry
data_PmTm2PaAs4
_cell_length_a 7.0861
_cell_length_b 4.1171
_cell_length_c 7.1341
_cell_angle_alpha 90.00
_cell_angle_beta 109.48
_cell_angle_gamma 90.00
_symmetry_space_group_name_H-M 'P 1 2/m 1'
_symmetry_Int_Tables_number 10
loop_
_symmetry_equiv_pos_as_xyz
'x,y,z'
'-x,-y,-z'
'-x,y,-z'
'x,-y,z'
loop_
_atom_site_label
_atom_site_type_symbol
_atom_site_fract_x
_atom_site_fract_y
_atom_site_fract_z
Pm1 Pm 0.0000 0.0000 0.0000
Tm1 Tm 0.5000 0.0000 0.5000
Tm2 Tm 0.5000 0.5000 0.0000
Pa1 Pa 0.0000 0.5000 0.5000
As1 As 0.2545 0.0000 0.7467
As2 As 0.2563 0.5000 0.2591
# uncorrected energy	-0.2431	Ha/atom
# E_form	-1.39	eV/atom
# ρ	8.58	g cm⁻³
# volume	24.5	Å³/atom

Record 5
# PBE Pm4Tm3PaAs8, optimized geometry
data_Pm4Tm3PaAs8
_cell_length_a 8.2900
_cell_length_b 8.2900
_cell_length_c 20.3844
_cell_angle_alpha 90.00
_cell_angle_beta 90.00
_cell_angle_gamma 120.00
_symmetry_space_group_name_H-M 'R -3 m'
_symmetry_Int_Tables_number 166
_symmetry_space_group_name_Hall '-R 3 2"'
loop_
_atom_site_label
_atom_site_type_symbol
_atom_site_fract_x
_atom_site_fract_y
_atom_site_fract_z
Pm1 Pm 0.0000 0.0000 0.0000
Pm2 Pm 0.0000 0.5000 0.0000
Tm1 Tm 0.0000 0.5000 0.5000
Pa1 Pa 0.0000 0.0000 0.5000
As1 As 0.0000 0.0000 0.2462
As2 As 0.0019 0.5010 0.2458
# uncorrected energy	-0.2356	Ha/atom
# E_form	-1.47	eV/atom
# ρ	7.87	g cm⁻³
# volume	25.3	Å³/atom

Record 6
# PBE Pm2TmPaAs5, optimized geometry
data_Pm2TmPaAs5
_cell_length_a 5.0865
_cell_length_b 5.0865
_cell_length_c 10.8304
_cell_angle_alpha 90.00
_cell_angle_beta 90.00
_cell_angle_gamma 90.00
_symmetry_space_group_name_H-M 'P 4/m m m'
_symmetry_Int_Tables_number 123
_symmetry_space_group_name_Hall '-P 4 2'
loop_
_atom_site_label
_atom_site_type_symbol
_atom_site_fract_x
_atom_site_fract_y
_atom_site_fract_z
Pm1 Pm 0.0000 0.0000 0.2275
Tm1 Tm 0.5000 0.5000 0.5000
Pa1 Pa 0.5000 0.5000 0.0000
As1 As 0.0000 0.0000 0.5000
As2 As 0.0000 0.5000 0.0000
As3 As 0.5000 0.5000 0.2550
# uncorrected energy	-0.2118	Ha/atom
# E_form	-0.57	eV/atom
# ρ	6.31	g cm⁻³
# volume	31.1	Å³/atom

Record 7
# PBE PmTmPa2As4, optimized geometry
data_PmTmPa2As4
_cell_length_a 7.1278
_cell_length_b 4.1178
_cell_length_c 7.1342
_cell_angle_alpha 90.00
_cell_angle_beta 109.47
_cell_angle_gamma 90.00
_symmetry_space_group_name_H-M 'P 1 2/m 1'
_symmetry_Int_Tables_number 10
loop_
_symmetry_equiv_pos_as_xyz
'x,y,z'
'-x,-y,-z'
'-x,y,-z'
'x,-y,z'
loop_
_atom_site_label
_atom_site_type_symbol
_atom_site_fract_x
_atom_site_fract_y
_atom_site_fract_z
Pm1 Pm 0.0000 0.0000 0.0000
Tm1 Tm 0.0000 0.5000 0.5000
Pa1 Pa 0.5000 0.0000 0.5000
Pa2 Pa 0.5000 0.5000 0.0000
As1 As 0.2524 0.0000 0.7458
As2 As 0.2563 0.5000 0.2572
# uncorrected energy	-0.2615	Ha/atom
# E_form	-1.27	eV/atom
# ρ	9.05	g cm⁻³
# volume	24.7	Å³/atom

Record 8
# PBE PmY2PaAs4, optimized geometry
data_PmY2PaAs4
_cell_length_a 7.1461
_cell_length_b 4.1473
_cell_length_c 7.1814
_cell_angle_alpha 90.00
_cell_angle_beta 109.48
_cell_angle_gamma 90.00
_symmetry_space_group_name_H-M 'P 1 2/m 1'
_symmetry_Int_Tables_number 10
loop_
_symmetry_equiv_pos_as_xyz
'x,y,z'
'-x,-y,-z'
'-x,y,-z'
'x,-y,z'
loop_
_atom_site_label
_atom_site_type_symbol
_atom_site_fract_x
_atom_site_fract_y
_atom_site_fract_z
Pm1 Pm 0.0000 0.0000 0.0000
Y1 Y 0.5000 0.0000 0.5000
Y2 Y 0.5000 0.5000 0.0000
Pa1 Pa 0.0000 0.5000 0.5000
As1 As 0.2493 0.0000 0.7445
As2 As 0.2514 0.5000 0.2580
# uncorrected energy	-0.2626	Ha/atom
# E_form	-1.42	eV/atom
# ρ	7.06	g cm⁻³
# volume	25.1	Å³/atom